Here is a relaxed structure of RuW4Au from Alexandria. Energies are from PBE.

Cell lengths 7.4009, 7.4009, 7.4009 Å; angles 90.00, 90.00, 90.00 degrees
Last column: nearest neighbours and their distance in Å.
Space group F-43m (No. 216)
Asymmetric unit:
Ru (0.0000, 0.0000, 0.0000) [4 per cell]  12 W 3.07, 4 Au 3.20
W (0.1239, 0.1239, 0.6239) [16 per cell]  6 W 2.59-2.64
Au (0.2500, 0.2500, 0.2500) [4 per cell]  12 W 3.07, 4 Ru 3.20

Output
Calculated total energy = -10.182 eV/atom
M_tot = 0.00 μB per formula unit
Calculated formation energy = 546 meV per atom